Density functional theory data (PBE with a Hubbard U) for a relaxed structure of GaFeF2.

Geometry as POSCAR:
```
GaFeF2
1.0
0.0000 2.9771 2.9771
2.9771 0.0000 2.9771
2.9771 2.9771 0.0000
Ga Fe F
1 1 2
Direct
0.0000 0.0000 0.0000
0.5000 0.5000 0.5000
0.2500 0.2500 0.2500
0.7500 0.7500 0.7500
```

Values from the calculation:
* magnetic moment: 3.00 Bohr magnetons per cell
* density of states at the Fermi level: 0.000 states/eV/cell
* total energy: -16.77 eV/f.u.
* space-group type: Fm-3m (225)
* theoretical density: 5.147 g cm⁻³
* distance to the lowest polymorph of the same formula: 0.309 eV/atom